Entry 1:
Entry from Alexandria via LeMat-Bulk: a geometry-optimized Co2Ni7Rh2 structure (GGA-PBE).

```
Co2Ni7Rh2
1.0
-5.550 -0.524 2.717
-0.494 -3.013 -3.394
0.467 -6.888 -0.669
Ni Co Rh
7 2 2
Direct
0.215 0.622 0.485
0.000 0.001 0.999
0.386 0.276 0.388
0.615 0.721 0.614
0.676 0.643 0.010
0.785 0.378 0.514
0.324 0.358 0.990
0.618 0.984 0.147
0.381 0.015 0.854
0.968 0.190 0.263
0.032 0.810 0.737
```

Output
As for the offset from the most stable computed form: 0.000 eV/atom. The formation enthalpy at 0 K is 1.7 eV per formula unit.

Entry 2:
Entry from Alexandria via LeMat-Bulk: a geometry-optimized Sc4CoNi2Rh structure (GGA-PBE).

```
Sc4CoNi2Rh
1.0
-1.834 -0.101 -4.104
-4.289 -1.247 -0.516
-4.160 6.519 -0.765
Co Ni Sc Rh
1 2 4 1
Direct
0.500 0.500 0.500
0.250 0.250 0.250
0.750 0.750 0.750
0.127 0.127 0.618
0.623 0.623 0.132
0.873 0.873 0.382
0.377 0.377 0.868
0.000 0.000 0.000
```

Output
The formation enthalpy at 0 K is -4.7 eV per formula unit.

Entry 3:
Entry from Alexandria via LeMat-Bulk: a geometry-optimized CoSiNiRh structure (GGA-PBE).

```
CoSiNiRh
1.0
-3.465 1.384 1.601
-3.504 -0.522 -1.984
-2.767 -2.611 1.418
Rh Ni Si Co
1 1 1 1
Direct
0.000 0.000 0.000
0.750 0.750 0.750
0.250 0.250 0.250
0.500 0.500 0.500
```

Output
The value obtained for the energy relative to the elements, uncorrected is -0.341 eV/atom.

Entry 4:
Entry from Alexandria via LeMat-Bulk: a geometry-optimized CoNiSnRh structure (GGA-PBE).

```
CoNiSnRh
1.0
4.305 0.000 0.000
2.152 3.728 0.000
2.152 1.243 3.515
Ni Co Rh Sn
1 1 1 1
Direct
0.750 0.750 0.750
0.000 0.000 0.000
0.500 0.500 0.500
0.250 0.250 0.250
```

Output
The formation enthalpy at 0 K is -0.3 eV per formula unit.

Repeat the first record exactly.
Entry from Alexandria via LeMat-Bulk: a geometry-optimized Co2Ni7Rh2 structure (GGA-PBE).

```
Co2Ni7Rh2
1.0
-5.550 -0.524 2.717
-0.494 -3.013 -3.394
0.467 -6.888 -0.669
Ni Co Rh
7 2 2
Direct
0.215 0.622 0.485
0.000 0.001 0.999
0.386 0.276 0.388
0.615 0.721 0.614
0.676 0.643 0.010
0.785 0.378 0.514
0.324 0.358 0.990
0.618 0.984 0.147
0.381 0.015 0.854
0.968 0.190 0.263
0.032 0.810 0.737
```

Output
As for the offset from the most stable computed form: 0.000 eV/atom. The formation enthalpy at 0 K is 1.7 eV per formula unit.

Please write out number 3 again, unchanged.
Entry from Alexandria via LeMat-Bulk: a geometry-optimized CoSiNiRh structure (GGA-PBE).

```
CoSiNiRh
1.0
-3.465 1.384 1.601
-3.504 -0.522 -1.984
-2.767 -2.611 1.418
Rh Ni Si Co
1 1 1 1
Direct
0.000 0.000 0.000
0.750 0.750 0.750
0.250 0.250 0.250
0.500 0.500 0.500
```

Output
The value obtained for the energy relative to the elements, uncorrected is -0.341 eV/atom.